First-principles (PBE-GGA) data for a geometry-optimized LiLaSi2Pt structure, as listed in the Alexandria database.

```
LiLaSi2Pt
1.0
-2.103 2.103 5.144
2.103 -2.103 5.144
2.103 2.103 -5.144
Li La Si Pt
1 1 2 1
direct
0.000 0.000 0.000
0.250 0.750 0.500
0.633 0.133 0.500
0.867 0.367 0.500
0.500 0.500 0.000
```

Output
density of states at the Fermi level = 0.478 states/eV/atom
space group = I-4m2
total magnetization = 0.000 μB per atom
VASP energy = -5.625 eV/atom